{
  "formula": "AlGeP",
  "functional": "PBE",
  "state": "relaxed",
  "space_group": "Cm",
  "formation_energy_ev_per_fu": -0.7,
  "lattice": [[5.5479, -1.9683, 0.0000], [5.5479, 1.9683, 0.0000], [-1.7721, 0.0000, 6.4405]],
  "species": ["Al", "Al", "Ge", "Ge", "P", "P"],
  "fractional_positions": [[0.0000, 0.0000, 0.0000], [0.5372, 0.5372, 0.4998], [0.2283, 0.2283, 0.2041], [0.7491, 0.7491, 0.4373], [0.4266, 0.4266, 0.1338], [0.9628, 0.9628, 0.6339]]
}

***

{
  "formula": "GaH3W",
  "functional": "PBE",
  "state": "relaxed",
  "space_group": "Pm-3m",
  "lattice": [[3.4391, 0.0000, 0.0000], [0.0000, 3.4391, 0.0000], [0.0000, 0.0000, 3.4391]],
  "species": ["Ga", "H", "H", "H", "W"],
  "fractional_positions": [[0.0000, 0.0000, 0.0000], [0.0000, 0.0000, 0.5000], [0.0000, 0.5000, 0.0000], [0.5000, 0.0000, 0.0000], [0.5000, 0.5000, 0.5000]]
}

***

no.,energy above the lowest structure with this stoichiometry (eV per formula unit)
1,0.33
2,3.25